# Mn2FeF6, relaxed, DFT PBE+U
data_Mn2FeF6
_symmetry_space_group_name_H-M 'P 42/m n m'
_symmetry_Int_Tables_number 136
_symmetry_space_group_name_Hall '-P 4n 2n'
_cell_length_a 4.912
_cell_length_b 4.912
_cell_length_c 10.011
_cell_angle_alpha 90.00
_cell_angle_beta 90.00
_cell_angle_gamma 90.00
loop_
_atom_site_label
_atom_site_type_symbol
_atom_site_fract_x
_atom_site_fract_y
_atom_site_fract_z
_atom_site_occupancy
Mn1 Mn 0.000 0.000 0.167 1
Fe1 Fe 0.000 0.000 0.500 1
F1 F 0.194 0.194 0.335 1
F2 F 0.202 0.202 0.000 1
# Calculated total energy = -6.1466 eV per atom
# Total moment = 14.03 μB per formula unit